# Tb2Dy3ErAs6, optimized geometry, DFT PBE
data_Tb2Dy3ErAs6
_chemical_formula_sum 'Tb4 Dy6 Er2 As12'
_symmetry_space_group_name_H-M 'C 1 2/m 1'
_symmetry_Int_Tables_number 12
_cell_length_a 17.951
_cell_length_b 4.120
_cell_length_c 8.236
_cell_angle_alpha 90.00
_cell_angle_beta 103.24
_cell_angle_gamma 90.00
loop_
_symmetry_equiv_pos_as_xyz
'x,y,z'
'-x,-y,-z'
'-x,y,-z'
'x,-y,z'
'x+1/2,y+1/2,z'
'-x+1/2,-y+1/2,-z'
'-x+1/2,y+1/2,-z'
'x+1/2,-y+1/2,z'
loop_
_atom_site_label
_atom_site_type_symbol
_atom_site_fract_x
_atom_site_fract_y
_atom_site_fract_z
_atom_site_occupancy
Tb1 Tb 0.166 0.000 0.333 1
Dy1 Dy 0.000 0.500 0.500 1
Dy2 Dy 0.167 0.000 0.833 1
Er1 Er 0.000 0.500 0.000 1
As1 As 0.000 0.000 0.248 1
As2 As 0.166 0.500 0.082 1
As3 As 0.166 0.500 0.584 1
# D(E_F), states/eV per cell: 3.64
# Calculated total energy, eV per atom: -6.16
# Size of the total moment, μB/f.u.: 0.0

# PrTmMgAg, optimized geometry, DFT PBE
data_PrTmMgAg
_chemical_formula_sum 'Pr1 Tm1 Mg1 Ag1'
_symmetry_space_group_name_H-M 'P 4 m m'
_symmetry_Int_Tables_number 99
_cell_length_a 3.762
_cell_length_b 3.762
_cell_length_c 7.458
_cell_angle_alpha 90.00
_cell_angle_beta 90.00
_cell_angle_gamma 90.00
loop_
_symmetry_equiv_pos_as_xyz
'x,y,z'
'-y,x,z'
'-x,-y,z'
'y,-x,z'
'-x,y,z'
'y,x,z'
'x,-y,z'
'-y,-x,z'
loop_
_atom_site_label
_atom_site_type_symbol
_atom_site_fract_x
_atom_site_fract_y
_atom_site_fract_z
_atom_site_occupancy
Pr1 Pr 0.000 0.000 0.000 1
Tm1 Tm 0.000 0.000 0.482 1
Mg1 Mg 0.500 0.500 0.727 1
Ag1 Ag 0.500 0.500 0.273 1
# D(E_F), states/eV per cell: 3.83
# Calculated total energy, eV per atom: -3.60
# Size of the total moment, μB/f.u.: 0.0
# Energy above the most stable polymorph in this dataset, kJ per mole of atoms: 0.0